No. 1
SrMg2Bi | PBE-GGA | optimized geometry

Cell: 5.197 4.774 4.774 Å, 90.00 90.00 90.00°
Element x y z (fractional)
1 Mg 0.000 0.000 0.500
2 Mg 0.000 0.500 0.000
3 Bi 0.500 0.000 0.000
4 Sr 0.500 0.500 0.500

Calculated values
Crystal system: tetragonal
Total energy (eV/atom): -2.5064
DFT formation energy (eV per atom): -0.318
Space-group type: P4/mmm (123)

=====

No. 2
Th2CdPb | PBE-GGA | optimized geometry

Cell: 3.481 3.481 12.128 Å, 81.75 81.75 60.00°
Element x y z (fractional)
1 Cd 0.500 0.500 0.500
2 Th 0.091 0.091 0.726
3 Th 0.909 0.909 0.274
4 Pb 0.000 0.000 0.000

Calculated values
Crystal system: trigonal
Total energy (eV/atom): -4.7484
DFT formation energy (eV per atom): 0.117
Space-group type: R-3m (166)

=====

No. 3
Sm3Cd7Pt4 | PBE-GGA | optimized geometry

Cell: 4.148 8.553 9.589 Å, 74.53 77.51 75.96°
Element x y z (fractional)
1 Cd 0.674 0.158 0.494
2 Sm 0.297 0.186 0.220
3 Pt 0.884 0.924 0.307
4 Cd 0.000 0.000 0.000
5 Sm 0.000 0.500 0.500
6 Cd 0.481 0.224 0.815
7 Pt 0.650 0.433 0.266
8 Cd 0.519 0.776 0.185
9 Pt 0.116 0.076 0.693
10 Cd 0.828 0.402 0.941
11 Cd 0.326 0.842 0.506
12 Cd 0.172 0.598 0.059
13 Sm 0.703 0.814 0.780
14 Pt 0.350 0.567 0.734

Calculated values
Crystal system: monoclinic
Total energy (eV/atom): -3.7836
DFT formation energy (eV per atom): -0.589
Space-group type: C2/m (12)

=====

No. 4
KNaZn2Sb2 | PBE-GGA | optimized geometry

Cell: 4.550 4.550 9.827 Å, 90.00 90.00 120.00°
Element x y z (fractional)
1 Na 0.000 0.000 0.500
2 K 0.000 0.000 0.000
3 Zn 0.333 0.667 0.711
4 Sb 0.333 0.667 0.269
5 Zn 0.667 0.333 0.289
6 Sb 0.667 0.333 0.731

Calculated values
Crystal system: trigonal
Total energy (eV/atom): -2.5577
Space-group type: P-3m1 (164)
Formation energy (no corrections) (meV per atom): -356

=====

No. 5
PuVFe | PBE-GGA | optimized geometry

Cell: 2.755 4.330 4.330 Å, 120.00 90.00 90.00°
Element x y z (fractional)
1 Pu 0.645 0.333 0.667
2 Fe 0.949 0.000 0.000
3 V 0.406 0.667 0.333

Calculated values
Energy above the most stable polymorph in this dataset (eV/atom): 0.1091
Crystal system: trigonal
Total energy (eV/atom): -10.3810
DFT formation energy (eV per atom): 0.257
Space-group type: P3m1 (156)

=====

No. 6
CaTm7Cd4 | PBE-GGA | optimized geometry

Cell: 5.664 8.927 7.804 Å, 70.22 68.72 71.50°
Element x y z (fractional)
1 Cd 0.679 0.660 0.981
2 Tm 0.500 0.000 0.000
3 Cd 0.321 0.340 0.019
4 Tm 0.790 0.880 0.539
5 Tm 0.210 0.120 0.461
6 Tm 0.075 0.577 0.273
7 Tm 0.738 0.307 0.217
8 Tm 0.925 0.423 0.727
9 Cd 0.458 0.712 0.372
10 Tm 0.262 0.693 0.783
11 Cd 0.542 0.288 0.628
12 Ca 0.000 0.000 0.000

Calculated values
Crystal system: monoclinic
Total energy (eV/atom): -3.0227
DFT formation energy (eV per atom): 0.058
Space-group type: C2/m (12)